# Ba2MgI PBE-GGA optimized geometry
data_Ba2MgI
_symmetry_space_group_name_H-M 'P 1'
_symmetry_Int_Tables_number 1
_cell_length_a 6.284
_cell_length_b 6.284
_cell_length_c 6.284
_cell_angle_alpha 60.00
_cell_angle_beta 60.00
_cell_angle_gamma 60.00
loop_
_symmetry_equiv_pos_as_xyz
'x,y,z'
loop_
_atom_site_label
_atom_site_fract_x
_atom_site_fract_y
_atom_site_fract_z
I1 0.500 0.500 0.500
Mg1 0.000 0.000 0.000
Ba1 0.250 0.250 0.250
Ba2 0.750 0.750 0.750
# E ... -8.82 eV per cell
# Energy relative to the lowest polymorph listed for this composition ... 163 meV/atom
# Formation energy from raw total energies ... -458 meV per atom
# Space group ... Fm-3m
# Calculated volume ... 43.865 Å³/atom